P) ## Tb2PrSe4 (GGA-PBE)

Data for a relaxed Tb2PrSe4 crystal.

N(E_F) (states/eV/f.u.): 2.3

abc: 12.6573 4.0612 14.8352
angles: 90.00 90.00 90.00
Sites, in units of the cell vectors:
Tb 0.0591 0.2500 0.1129
Tb 0.0954 0.2500 0.5918
Tb 0.4046 0.7500 0.0918
Tb 0.4409 0.7500 0.6129
Tb 0.5591 0.2500 0.3871
Tb 0.5954 0.2500 0.9082
Tb 0.9046 0.7500 0.4082
Tb 0.9409 0.7500 0.8871
Pr 0.2486 0.2500 0.3292
Pr 0.2514 0.7500 0.8292
Pr 0.7486 0.2500 0.1708
Pr 0.7514 0.7500 0.6708
Se 0.0421 0.7500 0.7161
Se 0.0991 0.2500 0.9231
Se 0.1291 0.7500 0.4558
Se 0.1992 0.7500 0.1803
Se 0.3008 0.2500 0.6803
Se 0.3709 0.2500 0.9558
Se 0.4009 0.7500 0.4231
Se 0.4579 0.2500 0.2161
Se 0.5421 0.7500 0.7839
Se 0.5991 0.2500 0.5769
Se 0.6291 0.7500 0.0442
Se 0.6992 0.7500 0.3197
Se 0.8008 0.2500 0.8197
Se 0.8709 0.2500 0.5442
Se 0.9009 0.7500 0.0769
Se 0.9579 0.2500 0.2839


Q) ## Tb2PrSe4 (GGA-PBE)

Data for a relaxed Tb2PrSe4 crystal.

N(E_F) (states/eV/f.u.): 1.8

abc: 7.0879 7.0879 13.9499
angles: 90.00 90.00 146.76
Sites, in units of the cell vectors:
Tb 0.1303 0.8697 0.5680
Tb 0.1303 0.8697 0.9320
Tb 0.8697 0.1303 0.0680
Tb 0.8697 0.1303 0.4320
Pr 0.3758 0.6242 0.7500
Pr 0.6242 0.3758 0.2500
Se 0.0385 0.9615 0.7500
Se 0.2261 0.7739 0.1197
Se 0.2261 0.7739 0.3803
Se 0.5000 0.5000 0.0000
Se 0.5000 0.5000 0.5000
Se 0.7739 0.2261 0.6197
Se 0.7739 0.2261 0.8803
Se 0.9615 0.0385 0.2500


It comes down to Q), which is 12 meV/atom more stable than the next structure.